# 1
First-principles (GGA-PBE) data for HfCrFe2 after structural relaxation, as listed in Alexandria.

The density of states at the Fermi level comes out at 14.9 states/eV per cell. Its energy relative to the lowest polymorph listed for this composition is 0.3411 eV per atom. The total DFT energy (no corrections) is -8.72 eV/atom. The value obtained for the formation energy is 9.4 kcal/mol of atoms.

It has space group I-42d (No. 122), with a = 6.5440 Å, b = 6.5440 Å, c = 5.2983 Å, α = 90.00°, β = 90.00° and γ = 90.00°. The asymmetric unit holds Hf at (0.0000, 0.0000, 0.0000), Cr at (0.0000, 0.0000, 0.5000) and Fe at (0.1979, 0.2500, 0.6250).

---

# 2
First-principles (GGA-PBE) data for TlRuBr after structural relaxation, as listed in Alexandria.

The calculation puts the uncorrected formation energy at 636 meV per atom. The density of states at the Fermi level comes out at 3.4 states/eV per cell. Its energy relative to the lowest polymorph listed for this composition is 0.1205 eV per atom. The total DFT energy (no corrections) is -3.80 eV/atom.

It has space group P-6m2 (No. 187), with a = 4.5671 Å, b = 4.5671 Å, c = 3.5195 Å, α = 90.00°, β = 90.00° and γ = 120.00°. The asymmetric unit holds Tl at (0.0000, 0.0000, 0.0000), Ru at (0.3333, 0.6667, 0.5000) and Br at (0.6667, 0.3333, 0.5000).

---

# 3
First-principles (GGA-PBE) data for Tl2CuHgO after structural relaxation, as listed in Alexandria.

The calculation puts the uncorrected formation energy at -266 meV per atom. The density of states at the Fermi level comes out at 0.6 states/eV per cell. The total DFT energy (no corrections) is -3.08 eV/atom.

It has space group P4/mmm (No. 123), with a = 5.6568 Å, b = 5.6568 Å, c = 3.6201 Å, α = 90.00°, β = 90.00° and γ = 90.00°. The asymmetric unit holds Tl at (0.0000, 0.5000, 0.0000), Cu at (0.0000, 0.0000, 0.5000), Hg at (0.5000, 0.5000, 0.5000) and O at (0.0000, 0.0000, 0.0000).

---

- What is the formula in the second record?
  TlRuBr

---

- Look up the total DFT energy (no corrections) of the second one.
  -3.80 eV/atom